The following is a PBE calculation of K2CdIn3Bi4 after structural relaxation, from Alexandria.

Results
E_form (kJ per mole of atoms): -15.4
Spin magnetization (μB/atom): 0.0000
Theoretical density (g/cm3): 6.3

```
data_K2CdIn3Bi4
_chemical_formula_sum 'K2 Cd1 In3 Bi4'
_space_group_name_H-M_alt 'P -4 m 2'
_space_group_IT_number 115
_space_group_name_Hall 'P -4 -2'
_cell_length_a 5.058
_cell_length_b 5.058
_cell_length_c 14.070
_cell_angle_alpha 90.00
_cell_angle_beta 90.00
_cell_angle_gamma 90.00
loop_
_atom_site_label
_atom_site_type_symbol
_atom_site_fract_x
_atom_site_fract_y
_atom_site_fract_z
K1 K 0.000 0.500 0.242
Cd1 Cd 0.500 0.500 0.000
In1 In 0.000 0.000 0.000
In2 In 0.000 0.500 0.640
Bi1 Bi 0.000 0.000 0.500
Bi2 Bi 0.000 0.500 0.869
Bi3 Bi 0.500 0.500 0.500
```